1.
This record from the Alexandria database describes a relaxed structure of MgTc2Ge. The functional is PBE.

Lattice parameters (Å, degrees): 7.4447 7.4447 5.0270 90.00 90.00 90.00
Space group I-42d (No. 122)
Asymmetric unit:
Mg  0.0000  0.0000  0.0000 x4
Tc  0.1902  0.2500  0.6250 x8
Ge  0.0000  0.0000  0.5000 x4

For the mass density, the calculation gives 6984 kg/m3. Its energy of formation from the pure elements is 0.489 eV/atom. The calculation puts the density of states at the Fermi level at 6.52 states/eV per cell. As for the energy above the most stable polymorph in this dataset: 307 meV per atom.


2.
This record from the Alexandria database describes a relaxed structure of MgTcGe2. The functional is PBE.

Lattice parameters (Å, degrees): 3.1525 3.1525 24.2251 90.00 90.00 120.00
Space group R-3m (No. 166, hexagonal axes)
Asymmetric unit:
Mg  0.0000  0.0000  0.0000 x3
Tc  0.0000  0.0000  0.5000 x3
Ge  0.0000  0.0000  0.2408 x6

For the mass density, the calculation gives 6393 kg/m3. Its energy of formation from the pure elements is -0.065 eV/atom. The calculation puts the density of states at the Fermi level at 6.58 states/eV per cell.


3.
This record from the Alexandria database describes a relaxed structure of MgTcGe2. The functional is PBE.

Lattice parameters (Å, degrees): 3.1295 3.1295 24.5851 90.00 90.00 120.00
Space group R3m (No. 160, hexagonal axes)
Asymmetric unit:
Mg  0.0000  0.0000  0.0000 x3
Tc  0.0000  0.0000  0.8356 x3
Ge  0.0000  0.0000  0.2424 x3
Ge  0.0000  0.0000  0.4280 x3

For the mass density, the calculation gives 6392 kg/m3. Its energy of formation from the pure elements is -0.048 eV/atom. The calculation puts the density of states at the Fermi level at 10.31 states/eV per cell.


Question: What is the formula in the second record?
Answer: MgTcGe2


Question: Which formula does entry 1 have?
Answer: MgTc2Ge


Question: Among the records above, which one has the highest mass density?
Answer: MgTc2Ge


Question: What is the mass density in the first record?
Answer: 6984 kg/m3